VASP calculation (SCAN) on a PBEsol-optimized structure of ScTl2Cd.

Summary:
Offset from the most stable computed form (meV per atom): 68
Density (g/cm³): 10.30
Formation energy (eV/f.u.): -0.71

Unit cell a=4.348 b=4.348 c=9.656 alpha=90.00 beta=90.00 gamma=90.00
Sites, in units of the cell vectors:
Sc  0.000  0.000  0.000
Sc  0.500  0.500  0.500
Tl  0.000  0.000  0.500
Tl  0.000  0.500  0.250
Tl  0.500  0.000  0.750
Tl  0.500  0.500  0.000
Cd  0.000  0.500  0.750
Cd  0.500  0.000  0.250